Entry 1:
## B2C (PBE)

Data for crystalline B2C at its relaxed geometry.

Cell and atoms, written as POSCAR:
```
B2C
1.0
2.635 0.000 0.000
-1.317 2.282 0.000
0.000 0.000 15.568
B C
8 4
direct
0.000 0.000 0.000
0.000 0.000 0.107
0.000 0.000 0.476
0.000 0.000 0.588
0.333 0.667 0.174
0.333 0.667 0.823
0.667 0.333 0.411
0.667 0.333 0.933
0.333 0.667 0.275
0.333 0.667 0.590
0.667 0.333 0.309
0.667 0.333 0.832
```

Output
- VASP energy: -7.06 eV/atom
- Energy relative to the lowest polymorph listed for this composition: 280 meV per atom
- Formation energy: 0.4651 eV/atom
- Symmetry: No. 156



Entry 2:
## NaMgTe2O6 (PBE)

Data for crystalline NaMgTe2O6 at its relaxed geometry.

Cell and atoms, written as POSCAR:
```
NaMgTe2O6
1.0
5.086 -4.821 0.000
5.086 4.821 0.000
-1.585 0.000 6.150
Na Mg Te O
2 2 4 12
direct
0.079 0.921 0.750
0.921 0.079 0.250
0.282 0.718 0.250
0.718 0.282 0.750
0.196 0.427 0.691
0.427 0.196 0.191
0.573 0.804 0.809
0.804 0.573 0.309
0.008 0.243 0.690
0.173 0.637 0.915
0.243 0.008 0.190
0.299 0.423 0.311
0.363 0.827 0.585
0.423 0.299 0.811
0.577 0.701 0.189
0.637 0.173 0.415
0.701 0.577 0.689
0.757 0.992 0.810
0.827 0.363 0.085
0.992 0.757 0.310
```

Output
- VASP energy: -5.28 eV/atom
- Formation energy without anion corrections: -1.38 eV per atom
- Symmetry: No. 15



Entry 3:
## NdZr2O (PBE)

Data for crystalline NdZr2O at its relaxed geometry.

Cell and atoms, written as POSCAR:
```
NdZr2O
1.0
3.405 0.000 0.000
-1.702 2.949 0.000
0.000 0.000 26.020
Nd Zr O
3 6 3
direct
0.000 0.000 0.000
0.333 0.667 0.667
0.667 0.333 0.333
0.000 0.000 0.123
0.000 0.000 0.877
0.333 0.667 0.544
0.333 0.667 0.789
0.667 0.333 0.211
0.667 0.333 0.456
0.000 0.000 0.500
0.333 0.667 0.167
0.667 0.333 0.833
```

Output
- VASP energy: -7.63 eV/atom
- Formation energy without anion corrections: -0.93 eV per atom
- Symmetry: No. 166



Entry 4:
## RbTbCdSe3 (PBE)

Data for crystalline RbTbCdSe3 at its relaxed geometry.

Cell and atoms, written as POSCAR:
```
RbTbCdSe3
1.0
9.254 0.000 0.000
0.000 4.297 0.000
-3.370 0.000 9.850
Rb Tb Cd Se
2 2 2 6
direct
0.217 0.250 0.237
0.783 0.750 0.763
0.330 0.750 0.866
0.670 0.250 0.134
0.085 0.250 0.612
0.915 0.750 0.388
0.115 0.250 0.870
0.224 0.750 0.547
0.468 0.750 0.151
0.532 0.250 0.849
0.776 0.250 0.453
0.885 0.750 0.130
```

Output
- VASP energy: -4.17 eV/atom
- Formation energy without anion corrections: -1.34 eV per atom
- Symmetry: No. 11



Entry 5:
## Mn2V2NiRh5 (PBE)

Data for crystalline Mn2V2NiRh5 at its relaxed geometry.

Cell and atoms, written as POSCAR:
```
Mn2V2NiRh5
1.0
8.941 0.000 0.000
0.000 8.941 0.000
0.000 0.000 3.662
Mn V Ni Rh
4 4 2 10
direct
0.169 0.331 0.000
0.331 0.831 0.000
0.669 0.169 0.000
0.831 0.669 0.000
0.132 0.632 0.000
0.368 0.132 0.000
0.632 0.868 0.000
0.868 0.368 0.000
0.000 0.000 0.000
0.500 0.500 0.000
0.000 0.500 0.500
0.074 0.802 0.500
0.198 0.074 0.500
0.302 0.574 0.500
0.426 0.302 0.500
0.500 0.000 0.500
0.574 0.698 0.500
0.698 0.426 0.500
0.802 0.926 0.500
0.926 0.198 0.500
```

Output
- VASP energy: -7.91 eV/atom
- Formation energy: 0.0053 eV/atom
- Symmetry: No. 127



Entry 6:
## Al3Cu4 (PBE)

Data for crystalline Al3Cu4 at its relaxed geometry.

Cell and atoms, written as POSCAR:
```
Al3Cu4
1.0
2.064 1.192 6.770
-2.064 1.192 6.770
0.000 -2.383 6.770
Al Cu
3 4
direct
0.000 0.000 0.000
0.247 0.247 0.247
0.753 0.753 0.753
0.127 0.127 0.127
0.379 0.379 0.379
0.621 0.621 0.621
0.873 0.873 0.873
```

Output
- VASP energy: -4.02 eV/atom
- Energy relative to the lowest polymorph listed for this composition: 112 meV per atom
- Formation energy: -0.0787 eV/atom
- Symmetry: No. 166



Entry 7:
## DyHoCuNi (PBE)

Data for crystalline DyHoCuNi at its relaxed geometry.

Cell and atoms, written as POSCAR:
```
DyHoCuNi
1.0
4.391 0.000 0.000
0.000 3.684 0.000
0.000 0.000 10.181
Dy Ho Cu Ni
2 2 2 2
direct
0.000 0.000 0.000
0.000 0.500 0.500
0.500 0.000 0.722
0.500 0.500 0.222
0.500 0.000 0.433
0.500 0.500 0.933
0.000 0.000 0.288
0.000 0.500 0.788
```

Output
- VASP energy: -5.13 eV/atom
- Energy relative to the lowest polymorph listed for this composition: 0 meV per atom
- Formation energy: -0.3685 eV/atom
- Symmetry: No. 38



Entry 8:
## La2As3Ir4Pt (PBE)

Data for crystalline La2As3Ir4Pt at its relaxed geometry.

Cell and atoms, written as POSCAR:
```
La2As3Ir4Pt
1.0
4.277 0.000 0.000
0.000 4.277 0.000
0.000 0.000 10.482
La As Ir Pt
2 3 4 1
direct
0.000 0.500 0.244
0.500 0.000 0.756
0.000 0.000 0.000
0.000 0.500 0.634
0.500 0.000 0.366
0.000 0.000 0.500
0.000 0.500 0.861
0.500 0.000 0.139
0.500 0.500 0.500
0.500 0.500 0.000
```

Output
- VASP energy: -7.22 eV/atom
- Formation energy: -0.6912 eV/atom
- Symmetry: No. 115



Entry 9:
## MoPbAu (PBE)

Data for crystalline MoPbAu at its relaxed geometry.

Cell and atoms, written as POSCAR:
```
MoPbAu
1.0
4.617 0.000 0.000
-2.309 3.998 0.000
0.000 0.000 3.328
Mo Pb Au
1 1 1
direct
0.000 0.000 0.000
0.667 0.333 0.372
0.333 0.667 0.702
```

Output
- VASP energy: -5.23 eV/atom
- Energy relative to the lowest polymorph listed for this composition: 154 meV per atom
- Formation energy: 0.7062 eV/atom
- Symmetry: No. 156



Entry 10:
## Ho3MgAg (PBE)

Data for crystalline Ho3MgAg at its relaxed geometry.

Cell and atoms, written as POSCAR:
```
Ho3MgAg
1.0
2.571 -10.033 0.000
2.571 10.033 0.000
0.000 0.000 5.132
Ho Mg Ag
6 2 2
direct
0.058 0.942 0.750
0.249 0.751 0.750
0.438 0.562 0.750
0.562 0.438 0.250
0.751 0.249 0.250
0.942 0.058 0.250
0.154 0.846 0.250
0.846 0.154 0.750
0.338 0.662 0.250
0.662 0.338 0.750
```

Output
- VASP energy: -3.75 eV/atom
- Energy relative to the lowest polymorph listed for this composition: 0 meV per atom
- Formation energy: -0.1114 eV/atom
- Symmetry: No. 63



Entry 11:
## La3SiPt (PBE)

Data for crystalline La3SiPt at its relaxed geometry.

Cell and atoms, written as POSCAR:
```
La3SiPt
1.0
5.592 0.000 0.000
0.000 5.592 0.000
0.000 0.000 5.592
La Si Pt
3 1 1
direct
0.000 0.000 0.500
0.000 0.500 0.000
0.500 0.000 0.000
0.500 0.500 0.500
0.000 0.000 0.000
```

Output
- VASP energy: -5.54 eV/atom
- Energy relative to the lowest polymorph listed for this composition: 0 meV per atom
- Formation energy without anion corrections: -0.29 eV per atom
- Symmetry: No. 221



Entry 12:
## SmAl11Os (PBE)

Data for crystalline SmAl11Os at its relaxed geometry.

Cell and atoms, written as POSCAR:
```
SmAl11Os
1.0
2.617 -6.320 0.000
2.617 6.320 0.000
-2.509 0.000 6.731
Sm Al Os
1 11 1
direct
0.000 0.000 0.000
0.000 0.000 0.500
0.000 0.500 0.000
0.016 0.363 0.360
0.282 0.500 0.774
0.363 0.016 0.360
0.500 0.000 0.000
0.500 0.282 0.774
0.500 0.718 0.226
0.637 0.984 0.640
0.718 0.500 0.226
0.984 0.637 0.640
0.500 0.500 0.500
```

Output
- VASP energy: -4.63 eV/atom
- Formation energy: -0.2403 eV/atom
- Symmetry: No. 12